1.
A plane-wave DFT calculation with GGA-PBE was carried out for crystalline TbAl2Tc at its relaxed geometry.

Cell and atoms, written as POSCAR:
```
TbAl2Tc
1.0
3.081 0.000 0.000
-1.540 2.668 0.000
0.000 0.000 27.782
Tb Al Tc
3 6 3
Direct
0.000 0.000 0.000
0.333 0.667 0.667
0.667 0.333 0.333
0.000 0.000 0.235
0.000 0.000 0.765
0.333 0.667 0.431
0.333 0.667 0.902
0.667 0.333 0.098
0.667 0.333 0.569
0.000 0.000 0.500
0.333 0.667 0.167
0.667 0.333 0.833
```

Output
M_tot = 0.00 Bohr magnetons per cell
Energy = -67.58 eV/cell

=====

2.
A plane-wave DFT calculation with GGA-PBE was carried out for crystalline Tl2ClF at its relaxed geometry.

Cell and atoms, written as POSCAR:
```
Tl2ClF
1.0
4.185 0.000 0.000
-2.092 3.624 0.000
0.000 0.000 22.031
Tl Cl F
6 3 3
Direct
0.000 0.000 0.000
0.000 0.000 0.192
0.333 0.667 0.667
0.333 0.667 0.858
0.667 0.333 0.333
0.667 0.333 0.525
0.000 0.000 0.763
0.333 0.667 0.429
0.667 0.333 0.096
0.000 0.000 0.595
0.333 0.667 0.262
0.667 0.333 0.928
```

Output
ΔE_f (raw) = -5.358 eV/f.u.
M_tot = 0.00 Bohr magnetons per cell
Energy = -41.42 eV/cell

=====

Which of these has the highest energy? Tl2ClF